VASP calculation (PBE-GGA) on a geometry-optimized Sm8Pd2Pt structure.

The calculation puts the density of states at the Fermi level at 23.1 states/eV per cell. The formation energy is -0.4958 eV/atom. The energy above the most stable polymorph in this dataset comes out at 0.000 eV/atom.

The space group is C2/m (No. 12) and the conventional cell measures 18.2510, 5.1880 and 6.7825 Å, with angles of 90.00, 107.17 and 90.00 degrees. The asymmetric unit holds Sm at (0.0294, 0.0000, 0.2910), Sm at (0.0910, 0.5000, 0.9574), Sm at (0.1707, 0.5000, 0.4991), Sm at (0.2030, 0.0000, 0.8417), Pd at (0.1750, 0.0000, 0.2394) and Pt at (0.0000, 0.5000, 0.5000).